Compound: SmTh2Mn
Source: Alexandria via LeMat-Bulk
Functional: GGA-PBE
Structure: optimized geometry

Unit cell a=3.9531 b=3.9531 c=8.8221 alpha=77.05 beta=77.05 gamma=60.00
Last column: nearest neighbours and their distance in Å.
Fractional coordinates of all 4 atoms:
Sm: 0.5052 0.5052 0.4844  6 Th 3.55-3.72, 6 Sm 3.95, 1 Mn 3.95
Th: 0.0568 0.0568 0.8295  3 Mn 2.80
Th: 0.2781 0.2781 0.1657  3 Mn 2.60
Mn: 0.6599 0.6599 0.0204  6 Th 2.60-2.80

Calculated values
Calculated formation energy   216 meV/atom
V   115 Å³ per cell
Space group   R3m (160)
Crystal system   trigonal

Compound: CsLaVSe4
Source: Alexandria via LeMat-Bulk
Functional: GGA-PBE
Structure: optimized geometry

Unit cell a=6.9972 b=7.0240 c=9.9737 alpha=90.00 beta=108.13 gamma=90.00
Last column: nearest neighbours and their distance in Å.
Fractional coordinates of all 14 atoms:
Cs: 0.7302 0.7500 0.9368  8 Se 3.67-3.89
Cs: 0.2698 0.2500 0.0632  8 Se 3.67-3.89
La: 0.7708 0.7500 0.4552  6 Se 3.06-3.11
La: 0.2292 0.2500 0.5448  6 Se 3.06-3.11
V: 0.2169 0.7500 0.3305  4 Se 2.32-2.35
V: 0.7831 0.2500 0.6695  4 Se 2.32-2.35
Se: 0.0110 0.5054 0.7064  1 V 2.35
Se: 0.9890 0.0054 0.2936  1 V 2.35
Se: 0.9890 0.4946 0.2936  1 V 2.35
Se: 0.0110 0.9946 0.7064  1 V 2.35
Se: 0.4158 0.7500 0.1819  1 V 2.33
Se: 0.5842 0.2500 0.8181  1 V 2.33
Se: 0.4074 0.7500 0.5676  1 V 2.32
Se: 0.5926 0.2500 0.4324  1 V 2.32

Calculated values
Electronic total energy   -5.43 eV per atom
V   466 Å³ per cell
Space group   P2_1/m (11)
Crystal system   monoclinic

Compound: Y4TlRu
Source: Alexandria via LeMat-Bulk
Functional: GGA-PBE
Structure: optimized geometry

Unit cell a=6.0877 b=6.0877 c=6.0877 alpha=60.00 beta=60.00 gamma=60.00
Last column: nearest neighbours and their distance in Å.
Fractional coordinates of all 6 atoms:
Y: 0.8717 0.3761 0.3761  6 Y 3.02-3.07
Y: 0.3761 0.3761 0.8717  6 Y 3.02-3.07
Y: 0.3761 0.8717 0.3761  6 Y 3.02-3.07
Y: 0.3761 0.3761 0.3761  6 Y 3.02-3.07
Tl: 0.0000 0.0000 0.0000  12 Y 3.57, 4 Ru 3.73
Ru: 0.7500 0.7500 0.7500  12 Y 3.57, 4 Tl 3.73

Calculated values
Calculated formation energy   632 meV/atom
V   160 Å³ per cell
Space group   F-43m (216)
Crystal system   cubic

Compound: Sm3SbPb
Source: Alexandria via LeMat-Bulk
Functional: GGA-PBE
Structure: optimized geometry

Unit cell a=7.3879 b=7.3881 c=8.6954 alpha=64.86 beta=64.86 gamma=60.00
Last column: nearest neighbours and their distance in Å.
Fractional coordinates of all 10 atoms:
Sm: 0.8289 0.4072 0.7868  2 Sb 3.09-3.10, 2 Pb 3.21-3.37
Sm: 0.9772 0.8288 0.7868  2 Sb 3.09-3.10, 2 Pb 3.21-3.37
Sm: 0.4072 0.9772 0.7868  2 Sb 3.09-3.10, 2 Pb 3.21-3.37
Sm: 0.1711 0.5928 0.2132  2 Sb 3.09-3.10, 2 Pb 3.21-3.37
Sm: 0.0228 0.1712 0.2132  2 Sb 3.09-3.10, 2 Pb 3.21-3.37
Sm: 0.5928 0.0228 0.2132  2 Sb 3.09-3.10, 2 Pb 3.21-3.37
Sb: 0.8336 0.8336 0.4992  6 Sm 3.09-3.10
Sb: 0.1664 0.1664 0.5008  6 Sm 3.09-3.10
Pb: 0.3754 0.3754 0.8738  6 Sm 3.21-3.37
Pb: 0.6246 0.6246 0.1262  6 Sm 3.21-3.37

Calculated values
Electronic total energy   -4.90 eV per atom
V   358 Å³ per cell
Space group   R-3 (148)
Crystal system   trigonal

Compound: Ti2V
Source: Alexandria via LeMat-Bulk
Functional: GGA-PBE
Structure: optimized geometry

Unit cell a=3.1526 b=3.1526 c=5.2886 alpha=107.37 beta=107.37 gamma=89.75
Last column: nearest neighbours and their distance in Å.
Fractional coordinates of all 3 atoms:
Ti: 0.1539 0.1539 0.3081  4 V 2.67-2.68, 5 Ti 2.89-2.96
Ti: 0.8461 0.8461 0.6919  4 V 2.67-2.68, 5 Ti 2.89-2.96
V: 0.5000 0.5000 0.0000  8 Ti 2.67-2.68

Calculated values
Calculated formation energy   93 meV/atom
V   48 Å³ per cell
Space group   Fmmm (69)
Crystal system   orthorhombic

Compound: HfNbSeBr2
Source: Alexandria via LeMat-Bulk
Functional: GGA-PBE
Structure: optimized geometry

Unit cell a=5.1951 b=5.1951 c=5.2120 alpha=90.00 beta=90.00 gamma=90.00
Last column: nearest neighbours and their distance in Å.
Fractional coordinates of all 5 atoms:
Nb: 0.5000 0.5000 0.5000  4 Se 3.67, 8 Br 3.68
Hf: 0.0000 0.0000 0.0000  4 Br 2.60, 2 Se 2.61
Se: 0.0000 0.0000 0.5000  2 Hf 2.61
Br: 0.0000 0.5000 0.0000  2 Hf 2.60
Br: 0.5000 0.0000 0.0000  2 Hf 2.60

Calculated values
Electronic total energy   -5.15 eV per atom
V   141 Å³ per cell
Space group   P4/mmm (123)
Crystal system   tetragonal

Compound: ScGa2TcAu
Source: Alexandria via LeMat-Bulk
Functional: GGA-PBE
Structure: optimized geometry

Unit cell a=5.1291 b=4.6368 c=5.1291 alpha=90.00 beta=90.00 gamma=90.00
Last column: nearest neighbours and their distance in Å.
Fractional coordinates of all 5 atoms:
Sc: 0.0000 0.0000 0.0000  2 Tc 2.32, 4 Ga 2.56
Au: 0.5000 0.5000 0.5000  8 Ga 3.46, 4 Tc 3.63
Tc: 0.0000 0.5000 0.0000  2 Sc 2.32
Ga: 0.0000 0.0000 0.5000  2 Sc 2.56
Ga: 0.5000 0.0000 0.0000  2 Sc 2.56

Calculated values
Calculated formation energy   1057 meV/atom
V   122 Å³ per cell
Space group   P4/mmm (123)
Crystal system   tetragonal

Compound: Ac6ZnOs2I3
Source: Alexandria via LeMat-Bulk
Functional: GGA-PBE
Structure: optimized geometry

Unit cell a=7.7206 b=7.7206 c=9.0095 alpha=98.22 beta=98.22 gamma=119.99
Last column: nearest neighbours and their distance in Å.
Fractional coordinates of all 12 atoms:
Ac: 0.9373 0.5792 0.8124  2 Os 2.96, 1 Zn 3.21
Ac: 0.7044 0.7044 0.1869  2 Os 2.96, 1 Zn 3.20
Ac: 0.0627 0.4208 0.1876  2 Os 2.96, 1 Zn 3.21
Ac: 0.5792 0.9373 0.8124  2 Os 2.96, 1 Zn 3.21
Ac: 0.2956 0.2956 0.8131  2 Os 2.96, 1 Zn 3.20
Ac: 0.4208 0.0627 0.1876  2 Os 2.96, 1 Zn 3.21
Zn: 0.0000 0.0000 0.0000  6 Ac 3.20-3.21
Os: 0.3333 0.6667 0.0000  6 Ac 2.96
Os: 0.6667 0.3333 0.0000  6 Ac 2.96
I: 0.1649 0.8351 0.5000  6 Ac 3.61-3.80
I: 0.8351 0.1649 0.5000  6 Ac 3.61-3.80
I: 0.5000 0.5000 0.5000  6 Ac 3.60-3.80

Calculated values
Electronic total energy   -5.08 eV per atom
V   446 Å³ per cell
Space group   C2/m (12)
Crystal system   monoclinic